Record 1
LiBe2Tc, relaxed, DFT PBE; SG = Cm (8); formation energy = 0.02 eV/atom; ΔE to the lowest computed polymorph = 0.0735 eV per atom
1.0
4.406 -1.231 0.000
4.406 1.231 0.000
-1.335 0.000 4.078
Li Be Tc
1 2 1
Cartesian
0.000 0.000 0.000
1.064 0.000 3.471
4.081 0.000 2.093
6.430 0.000 1.516



Record 2
MnFe4, relaxed, DFT PBE; SG = I4/mmm (139); formation energy = 0.49 eV/atom; ΔE to the lowest computed polymorph = 0.4543 eV per atom
1.0
-1.734 1.734 5.078
1.734 -1.734 5.078
1.734 1.734 -5.078
Mn Fe
1 4
Cartesian
0.000 0.000 0.000
1.734 0.000 2.539
0.000 0.000 4.056
0.000 0.000 6.100
0.000 1.734 2.539



Record 3
Ba2HfMgBr, relaxed, DFT PBE; SG = P4/mmm (123); formation energy from raw total energies = 0.674 eV/atom
1.0
6.723 0.000 0.000
0.000 6.723 0.000
0.000 0.000 5.134
Ba Hf Mg Br
2 1 1 1
Cartesian
0.000 3.362 0.000
3.362 0.000 0.000
0.000 0.000 2.567
3.362 3.362 0.000
3.362 3.362 2.567



Record 4
Tm2Ge4Ir5, relaxed, DFT PBE; SG = Fmmm (69); formation energy = -0.58 eV/atom
1.0
0.000 4.748 7.523
2.804 0.000 7.523
2.804 4.748 0.000
Tm Ge Ir
2 4 5
Cartesian
2.804 4.748 1.760
2.804 4.748 13.287
2.804 3.259 5.551
2.804 3.259 9.495
2.804 6.236 5.551
2.804 6.236 9.495
1.402 2.374 0.000
1.402 2.374 3.762
1.402 2.374 7.523
2.804 4.748 7.523
4.205 7.121 11.285



Which formula does entry 3 have? Ba2HfMgBr